VASP calculation (GGA+U) on a relaxed structure of PuBeVO6.

abc: 4.9545 4.9545 8.9554
angles: 90.00 90.00 120.00
Last column: nearest neighbours and their distance in Å.
Fractional coordinates of all 18 atoms:
O 0.6524 0.9781 0.8680  1 Be 1.89, 1 Pu 2.02, 1 V 2.05
O 0.9781 0.3256 0.1320  1 Be 1.89, 1 Pu 2.02, 1 V 2.05
O 0.6744 0.0219 0.3680  1 Be 1.89, 1 Pu 2.02, 1 V 2.05
O 0.6744 0.6524 0.1320  1 Be 1.89, 1 Pu 2.02, 1 V 2.05
O 0.9781 0.6524 0.3680  1 Be 1.89, 1 Pu 2.02, 1 V 2.05
O 0.0219 0.3476 0.6320  1 Be 1.89, 1 Pu 2.02, 1 V 2.05
O 0.0219 0.6744 0.8680  1 Be 1.89, 1 Pu 2.02, 1 V 2.05
O 0.3256 0.3476 0.8680  1 Be 1.89, 1 Pu 2.02, 1 V 2.05
O 0.3476 0.3256 0.3680  1 Be 1.89, 1 Pu 2.02, 1 V 2.05
O 0.6524 0.6744 0.6320  1 Be 1.89, 1 Pu 2.02, 1 V 2.05
O 0.3256 0.9781 0.6320  1 Be 1.89, 1 Pu 2.02, 1 V 2.05
O 0.3476 0.0219 0.1320  1 Be 1.89, 1 Pu 2.02, 1 V 2.05
Be 0.6667 0.3333 0.2500  6 O 1.89
Be 0.3333 0.6667 0.7500  6 O 1.89
V 0.0000 0.0000 0.0000  6 O 2.05
V 0.0000 0.0000 0.5000  6 O 2.05
Pu 0.3333 0.6667 0.2500  6 O 2.02
Pu 0.6667 0.3333 0.7500  6 O 2.02

As for the theoretical density: 7.0 Mg/m³. The calculation puts the raw total energy at -8.248 eV/atom.